! La2SnGe4Pt3 | Alexandria | PBE | relaxed; values from VASP
&SYSTEM
  ibrav = 0, nat = 10, ntyp = 4
/
ATOMIC_SPECIES
Sn 118.71 Sn.upf
La 138.91 La.upf
Ge 72.64 Ge.upf
Pt 195.08 Pt.upf
CELL_PARAMETERS angstrom
-2.8452 3.0933 -1.4539
-0.2267 -2.0584 -3.9357
-8.0820 -5.7914 3.4944
ATOMIC_POSITIONS crystal
Sn 0.5000 0.5000 0.5000
La 0.5000 0.0000 0.2375
Ge 0.5000 0.0000 0.6499
Ge 0.0000 0.0000 0.0000
Pt 0.0000 0.5000 0.1173
Ge 0.0000 0.5000 0.3501
Ge 0.5000 0.5000 0.0000
Pt 0.0000 0.0000 0.5000
Pt 0.5000 0.0000 0.8827
La 0.0000 0.5000 0.7625
! Space-group type ... P-4m2
! Formation energy ... -0.842 eV per atom